Record 1
Computed, not measured: a relaxed TbPtRh crystal at the GGA-PBE level of DFT.

Summary:
Energy above the most stable polymorph in this dataset   0.111 eV per atom
ΔE_f   -0.829 eV per atom
N(E_F)   0.4036 states/eV/atom

Geometry as CIF:
```
data_TbPtRh
_symmetry_space_group_name_H-M 'P -6 m 2'
_symmetry_Int_Tables_number 187
_symmetry_space_group_name_Hall 'P -6 2'
_cell_length_a 4.3560
_cell_length_b 4.3560
_cell_length_c 3.7321
_cell_angle_alpha 90.00
_cell_angle_beta 90.00
_cell_angle_gamma 120.00
loop_
_atom_site_label
_atom_site_fract_x
_atom_site_fract_y
_atom_site_fract_z
Tb1 0.0000 0.0000 0.0000
Pt1 0.3333 0.6667 0.5000
Rh1 0.6667 0.3333 0.5000
```



Record 2
Computed, not measured: a relaxed LiHfIrPd crystal at the GGA-PBE level of DFT.

Summary:
ΔE_f   -0.691 eV per atom
N(E_F)   0.3513 states/eV/atom

Geometry as CIF:
```
data_LiHfIrPd
_symmetry_space_group_name_H-M 'F -4 3 m'
_symmetry_Int_Tables_number 216
_symmetry_space_group_name_Hall 'F -4 2 3'
_cell_length_a 6.315
_cell_length_b 6.315
_cell_length_c 6.315
_cell_angle_alpha 90.00
_cell_angle_beta 90.00
_cell_angle_gamma 90.00
loop_
_atom_site_label
_atom_site_fract_x
_atom_site_fract_y
_atom_site_fract_z
Li1 0.000 0.000 0.000
Hf1 0.000 0.000 0.500
Ir1 0.250 0.250 0.250
Pd1 0.250 0.250 0.750
```



Record 3
Computed, not measured: a relaxed RbCdTc2O8 crystal at the GGA-PBE level of DFT.

Summary:
E_form (uncorrected)   -32.9 kcal/mol of atoms
N(E_F)   0.5049 states/eV/atom

Geometry as CIF:
```
data_RbCdTc2O8
_symmetry_space_group_name_H-M 'C 1 2/m 1'
_symmetry_Int_Tables_number 12
_symmetry_space_group_name_Hall '-C 2y'
_cell_length_a 10.690
_cell_length_b 6.074
_cell_length_c 7.334
_cell_angle_alpha 90.00
_cell_angle_beta 112.05
_cell_angle_gamma 90.00
loop_
_atom_site_label
_atom_site_fract_x
_atom_site_fract_y
_atom_site_fract_z
Rb1 0.000 0.000 0.000
Cd1 0.000 0.500 0.500
Tc1 0.209 0.000 0.656
O1 0.113 0.500 0.267
O2 0.145 0.240 0.728
O3 0.146 0.000 0.400
```



Record 4
Computed, not measured: a relaxed NiPS2Cl crystal at the GGA-PBE level of DFT.

Summary:
Energy above the most stable polymorph in this dataset   0.985 eV per atom
E_form (uncorrected)   36.1 kcal/mol of atoms
N(E_F)   1.4990 states/eV/atom

Geometry as CIF:
```
data_NiPS2Cl
_symmetry_space_group_name_H-M 'P 4/m m m'
_symmetry_Int_Tables_number 123
_symmetry_space_group_name_Hall '-P 4 2'
_cell_length_a 4.587
_cell_length_b 4.587
_cell_length_c 4.626
_cell_angle_alpha 90.00
_cell_angle_beta 90.00
_cell_angle_gamma 90.00
loop_
_atom_site_label
_atom_site_fract_x
_atom_site_fract_y
_atom_site_fract_z
Ni1 0.000 0.000 0.000
P1 0.500 0.500 0.000
S1 0.000 0.500 0.500
Cl1 0.500 0.500 0.500
```



Record 5
Computed, not measured: a relaxed LiSm2PaS4 crystal at the GGA-PBE level of DFT.

Summary:
E_form (uncorrected)   -41.2 kcal/mol of atoms
N(E_F)   0.6732 states/eV/atom

Geometry as CIF:
```
data_LiSm2PaS4
_symmetry_space_group_name_H-M 'P 1 2/m 1'
_symmetry_Int_Tables_number 10
_symmetry_space_group_name_Hall '-P 2y'
_cell_length_a 6.763
_cell_length_b 3.917
_cell_length_c 6.840
_cell_angle_alpha 90.00
_cell_angle_beta 109.24
_cell_angle_gamma 90.00
loop_
_atom_site_label
_atom_site_fract_x
_atom_site_fract_y
_atom_site_fract_z
Li1 0.000 0.000 0.000
Sm1 0.500 0.000 0.500
Sm2 0.500 0.500 0.000
Pa1 0.000 0.500 0.500
S1 0.234 0.500 0.242
S2 0.237 0.000 0.753
```



Record 6
Computed, not measured: a relaxed NaCe2ScSe4 crystal at the GGA-PBE level of DFT.

Summary:
E_form (uncorrected)   -37.8 kcal/mol of atoms
N(E_F)   1.6843 states/eV/atom

Geometry as CIF:
```
data_NaCe2ScSe4
_symmetry_space_group_name_H-M 'P 1 2/m 1'
_symmetry_Int_Tables_number 10
_symmetry_space_group_name_Hall '-P 2y'
_cell_length_a 7.089
_cell_length_b 4.117
_cell_length_c 7.189
_cell_angle_alpha 90.00
_cell_angle_beta 109.36
_cell_angle_gamma 90.00
loop_
_atom_site_label
_atom_site_fract_x
_atom_site_fract_y
_atom_site_fract_z
Na1 0.000 0.000 0.000
Ce1 0.500 0.000 0.500
Ce2 0.500 0.500 0.000
Sc1 0.000 0.500 0.500
Se1 0.230 0.000 0.736
Se2 0.237 0.500 0.256
```



Record 7
Computed, not measured: a relaxed Ca2ZnNiGe crystal at the GGA-PBE level of DFT.

Summary:
ΔE_f   -0.048 eV per atom
N(E_F)   0.3629 states/eV/atom

Geometry as CIF:
```
data_Ca2ZnNiGe
_symmetry_space_group_name_H-M 'P 4/m m m'
_symmetry_Int_Tables_number 123
_symmetry_space_group_name_Hall '-P 4 2'
_cell_length_a 5.646
_cell_length_b 5.646
_cell_length_c 4.357
_cell_angle_alpha 90.00
_cell_angle_beta 90.00
_cell_angle_gamma 90.00
loop_
_atom_site_label
_atom_site_fract_x
_atom_site_fract_y
_atom_site_fract_z
Ca1 0.000 0.500 0.000
Zn1 0.000 0.000 0.500
Ni1 0.500 0.500 0.500
Ge1 0.500 0.500 0.000
```



Record 8
Computed, not measured: a relaxed TiFe7 crystal at the GGA-PBE level of DFT.

Summary:
ΔE_f   0.050 eV per atom
N(E_F)   1.0649 states/eV/atom

Geometry as CIF:
```
data_TiFe7
_symmetry_space_group_name_H-M 'P -6 m 2'
_symmetry_Int_Tables_number 187
_symmetry_space_group_name_Hall 'P -6 2'
_cell_length_a 5.0216
_cell_length_b 5.0216
_cell_length_c 4.0916
_cell_angle_alpha 90.00
_cell_angle_beta 90.00
_cell_angle_gamma 120.00
loop_
_atom_site_label
_atom_site_fract_x
_atom_site_fract_y
_atom_site_fract_z
Ti1 0.0000 0.0000 0.0000
Fe1 0.0010 0.5005 0.0000
Fe2 0.1757 0.3514 0.5000
Fe3 0.6667 0.3333 0.5000
```



Record 9
Computed, not measured: a relaxed SmAl2Zn crystal at the GGA-PBE level of DFT.

Summary:
ΔE_f   -0.186 eV per atom
N(E_F)   0.7801 states/eV/atom

Geometry as CIF:
```
data_SmAl2Zn
_symmetry_space_group_name_H-M 'C m m m'
_symmetry_Int_Tables_number 65
_symmetry_space_group_name_Hall '-C 2 2'
_cell_length_a 5.464
_cell_length_b 9.356
_cell_length_c 3.397
_cell_angle_alpha 90.00
_cell_angle_beta 90.00
_cell_angle_gamma 90.00
loop_
_atom_site_label
_atom_site_fract_x
_atom_site_fract_y
_atom_site_fract_z
Sm1 0.000 0.000 0.000
Al1 0.250 0.250 0.500
Zn1 0.000 0.500 0.500
```



Record 10
Computed, not measured: a relaxed Ag2SnPt crystal at the GGA-PBE level of DFT.

Summary:
ΔE_f   0.316 eV per atom
N(E_F)   0.7314 states/eV/atom

Geometry as CIF:
```
data_Ag2SnPt
_symmetry_space_group_name_H-M 'R -3 m'
_symmetry_Int_Tables_number 166
_symmetry_space_group_name_Hall '-R 3 2"'
_cell_length_a 2.9566
_cell_length_b 2.9566
_cell_length_c 31.5851
_cell_angle_alpha 90.00
_cell_angle_beta 90.00
_cell_angle_gamma 120.00
loop_
_atom_site_label
_atom_site_fract_x
_atom_site_fract_y
_atom_site_fract_z
Ag1 0.0000 0.0000 0.0855
Sn1 0.0000 0.0000 0.5000
Pt1 0.0000 0.0000 0.0000
```



Record 11
Computed, not measured: a relaxed Tb8TlSb5 crystal at the GGA-PBE level of DFT.

Summary:
E_form (uncorrected)   -20.7 kcal/mol of atoms
N(E_F)   1.0277 states/eV/atom

Geometry as CIF:
```
data_Tb8TlSb5
_symmetry_space_group_name_H-M 'I -4'
_symmetry_Int_Tables_number 82
_symmetry_space_group_name_Hall 'I -4'
_cell_length_a 9.257
_cell_length_b 9.257
_cell_length_c 9.270
_cell_angle_alpha 90.00
_cell_angle_beta 90.00
_cell_angle_gamma 90.00
loop_
_atom_site_label
_atom_site_fract_x
_atom_site_fract_y
_atom_site_fract_z
Tb1 0.071 0.176 0.304
Tb2 0.072 0.322 0.946
Tl1 0.000 0.500 0.250
Sb1 0.000 0.000 0.000
Sb2 0.125 0.251 0.625
```



Record 12
Computed, not measured: a relaxed Sm6Mg5In crystal at the GGA-PBE level of DFT.

Summary:
ΔE_f   -0.175 eV per atom
N(E_F)   1.1752 states/eV/atom

Geometry as CIF:
```
data_Sm6Mg5In
_symmetry_space_group_name_H-M 'C m m m'
_symmetry_Int_Tables_number 65
_symmetry_space_group_name_Hall '-C 2 2'
_cell_length_a 5.432
_cell_length_b 16.329
_cell_length_c 7.684
_cell_angle_alpha 90.00
_cell_angle_beta 90.00
_cell_angle_gamma 90.00
loop_
_atom_site_label
_atom_site_fract_x
_atom_site_fract_y
_atom_site_fract_z
Sm1 0.000 0.000 0.249
Sm2 0.000 0.334 0.250
Mg1 0.000 0.167 0.500
Mg2 0.000 0.169 0.000
Mg3 0.000 0.500 0.500
In1 0.000 0.500 0.000
```



Record 13
Computed, not measured: a relaxed Ca2AlSi crystal at the GGA-PBE level of DFT.

Summary:
E_form (uncorrected)   0.0 kcal/mol of atoms
N(E_F)   0.7221 states/eV/atom

Geometry as CIF:
```
data_Ca2AlSi
_symmetry_space_group_name_H-M 'C 1 2/m 1'
_symmetry_Int_Tables_number 12
_symmetry_space_group_name_Hall '-C 2y'
_cell_length_a 9.292
_cell_length_b 3.480
_cell_length_c 6.683
_cell_angle_alpha 90.00
_cell_angle_beta 100.22
_cell_angle_gamma 90.00
loop_
_atom_site_label
_atom_site_fract_x
_atom_site_fract_y
_atom_site_fract_z
Ca1 0.242 0.000 0.233
Al1 0.000 0.000 0.500
Si1 0.000 0.500 0.000
```



Record 14
Computed, not measured: a relaxed Cs4K9Rb11 crystal at the GGA-PBE level of DFT.

Summary:
ΔE_f   0.010 eV per atom
N(E_F)   0.7876 states/eV/atom

Geometry as CIF:
```
data_Cs4K9Rb11
_symmetry_space_group_name_H-M 'C m m m'
_symmetry_Int_Tables_number 65
_symmetry_space_group_name_Hall '-C 2 2'
_cell_length_a 25.159
_cell_length_b 33.707
_cell_length_c 4.970
_cell_angle_alpha 90.00
_cell_angle_beta 90.00
_cell_angle_gamma 90.00
loop_
_atom_site_label
_atom_site_fract_x
_atom_site_fract_y
_atom_site_fract_z
Cs1 0.167 0.078 0.000
K1 0.000 0.000 0.000
K2 0.096 0.399 0.000
K3 0.121 0.219 0.000
Rb1 0.000 0.133 0.500
Rb2 0.000 0.299 0.500
Rb3 0.000 0.500 0.500
Rb4 0.189 0.500 0.500
Rb5 0.217 0.319 0.500
```



Record 15
Computed, not measured: a relaxed TaCd2Os crystal at the GGA-PBE level of DFT.

Summary:
Energy above the most stable polymorph in this dataset   0.501 eV per atom
ΔE_f   0.615 eV per atom
N(E_F)   0.9143 states/eV/atom

Geometry as CIF:
```
data_TaCd2Os
_symmetry_space_group_name_H-M 'P 4/m m m'
_symmetry_Int_Tables_number 123
_symmetry_space_group_name_Hall '-P 4 2'
_cell_length_a 2.825
_cell_length_b 2.825
_cell_length_c 9.047
_cell_angle_alpha 90.00
_cell_angle_beta 90.00
_cell_angle_gamma 90.00
loop_
_atom_site_label
_atom_site_fract_x
_atom_site_fract_y
_atom_site_fract_z
Ta1 0.000 0.000 0.000
Cd1 0.500 0.500 0.262
Os1 0.000 0.000 0.500
```



Record 16
Computed, not measured: a relaxed CaLa3Ir crystal at the GGA-PBE level of DFT.

Summary:
Energy above the most stable polymorph in this dataset   0.055 eV per atom
ΔE_f   -0.295 eV per atom
N(E_F)   1.3348 states/eV/atom

Geometry as CIF:
```
data_CaLa3Ir
_symmetry_space_group_name_H-M 'C 1 2/m 1'
_symmetry_Int_Tables_number 12
_symmetry_space_group_name_Hall '-C 2y'
_cell_length_a 23.221
_cell_length_b 3.895
_cell_length_c 7.853
_cell_angle_alpha 90.00
_cell_angle_beta 106.42
_cell_angle_gamma 90.00
loop_
_atom_site_label
_atom_site_fract_x
_atom_site_fract_y
_atom_site_fract_z
Ca1 0.179 0.000 0.064
La1 0.057 0.000 0.248
La2 0.073 0.500 0.667
La3 0.201 0.000 0.603
Ir1 0.157 0.500 0.339
```



Record 17
Computed, not measured: a relaxed SbC2Se crystal at the GGA-PBE level of DFT.

Summary:
Energy above the most stable polymorph in this dataset   0.706 eV per atom
E_form (uncorrected)   55.7 kcal/mol of atoms
N(E_F)   0.7431 states/eV/atom

Geometry as CIF:
```
data_SbC2Se
_symmetry_space_group_name_H-M 'F m -3 m'
_symmetry_Int_Tables_number 225
_symmetry_space_group_name_Hall '-F 4 2 3'
_cell_length_a 6.049
_cell_length_b 6.049
_cell_length_c 6.049
_cell_angle_alpha 90.00
_cell_angle_beta 90.00
_cell_angle_gamma 90.00
loop_
_atom_site_label
_atom_site_fract_x
_atom_site_fract_y
_atom_site_fract_z
Sb1 0.000 0.000 0.000
C1 0.250 0.250 0.250
Se1 0.000 0.000 0.500
```



Record 18
Computed, not measured: a relaxed KMnCo crystal at the GGA-PBE level of DFT.

Summary:
Energy above the most stable polymorph in this dataset   0.484 eV per atom
ΔE_f   1.208 eV per atom
N(E_F)   1.3665 states/eV/atom

Geometry as CIF:
```
data_KMnCo
_symmetry_space_group_name_H-M 'P 3 m 1'
_symmetry_Int_Tables_number 156
_symmetry_space_group_name_Hall 'P 3 -2"'
_cell_length_a 4.9745
_cell_length_b 4.9745
_cell_length_c 2.8167
_cell_angle_alpha 90.00
_cell_angle_beta 90.00
_cell_angle_gamma 120.00
loop_
_atom_site_label
_atom_site_fract_x
_atom_site_fract_y
_atom_site_fract_z
K1 0.0000 0.0000 0.0000
Mn1 0.6667 0.3333 0.4983
Co1 0.3333 0.6667 0.5006
```



Record 19
Computed, not measured: a relaxed TcMo2As crystal at the GGA-PBE level of DFT.

Summary:
ΔE_f   0.096 eV per atom
N(E_F)   0.5910 states/eV/atom

Geometry as CIF:
```
data_TcMo2As
_symmetry_space_group_name_H-M 'P m m m'
_symmetry_Int_Tables_number 47
_symmetry_space_group_name_Hall '-P 2 2'
_cell_length_a 3.164
_cell_length_b 4.206
_cell_length_c 4.588
_cell_angle_alpha 90.00
_cell_angle_beta 90.00
_cell_angle_gamma 90.00
loop_
_atom_site_label
_atom_site_fract_x
_atom_site_fract_y
_atom_site_fract_z
Tc1 0.000 0.000 0.000
Mo1 0.000 0.500 0.500
Mo2 0.500 0.500 0.000
As1 0.500 0.000 0.500
```



Record 20
Computed, not measured: a relaxed AlPS4 crystal at the GGA-PBE level of DFT.

Summary:
E_form (uncorrected)   -13.7 kcal/mol of atoms
N(E_F)   0.0000 states/eV/atom

Geometry as CIF:
```
data_AlPS4
_symmetry_space_group_name_H-M 'I 2 2 2'
_symmetry_Int_Tables_number 23
_symmetry_space_group_name_Hall 'I 2 2'
_cell_length_a 5.699
_cell_length_b 6.313
_cell_length_c 10.291
_cell_angle_alpha 90.00
_cell_angle_beta 90.00
_cell_angle_gamma 90.00
loop_
_atom_site_label
_atom_site_fract_x
_atom_site_fract_y
_atom_site_fract_z
Al1 0.000 0.000 0.000
P1 0.000 0.500 0.500
S1 0.223 0.317 0.388
```